Compound: SmHoEr2Tl2
Source: the Open Quantum Materials Database
Functional: PBE-GGA
Structure: relaxed

Its energy is -4.11 eV per atom. The volume is 170 Å³/cell.

Cell: 5.4013 5.4013 6.7111 Å, 90.00 90.00 120.00°
Space group P-6m2 (No. 187)
Inequivalent atoms, fractional coordinates:
1 Sm 0.0000 0.0000 0.0000 (multiplicity 1)
2 Ho 0.3333 0.6667 0.5000 (multiplicity 1)
3 Er 0.6667 0.3333 0.2553 (multiplicity 2)
4 Tl 0.0000 0.0000 0.5000 (multiplicity 1)
5 Tl 0.3333 0.6667 0.0000 (multiplicity 1)

Compound: Zr4GaBiC2
Source: the Open Quantum Materials Database
Functional: PBE-GGA
Structure: relaxed

Its energy is -8.15 eV per atom. The volume is 145 Å³/cell.

Cell: 3.3979 3.3979 14.4526 Å, 90.00 90.00 120.00°
Space group P-6m2 (No. 187)
Inequivalent atoms, fractional coordinates:
1 Zr 0.0000 0.0000 0.1573 (multiplicity 2)
2 Zr 0.3333 0.6667 0.3290 (multiplicity 2)
3 Ga 0.3333 0.6667 0.0000 (multiplicity 1)
4 Bi 0.0000 0.0000 0.5000 (multiplicity 1)
5 C 0.6667 0.3333 0.2436 (multiplicity 2)

Compound: Ho3Ge13Os4
Source: the Open Quantum Materials Database
Functional: PBE-GGA
Structure: relaxed

Its energy is -6.27 eV per atom. The volume is 741 Å³/cell.

Cell: 9.051 9.051 9.051 Å, 90.00 90.00 90.00°
Space group Pm-3n (No. 223)
Inequivalent atoms, fractional coordinates:
1 Ho 0.000 0.250 0.500 (multiplicity 6)
2 Ge 0.000 0.000 0.000 (multiplicity 2)
3 Ge 0.000 0.298 0.145 (multiplicity 24)
4 Os 0.250 0.250 0.250 (multiplicity 8)

Compound: Nb4AuSN2
Source: the Open Quantum Materials Database
Functional: PBE-GGA
Structure: relaxed

Its energy is -8.76 eV per atom. The volume is 115 Å³/cell.

Cell: 3.2692 3.2692 12.4465 Å, 90.00 90.00 120.00°
Space group P-6m2 (No. 187)
Inequivalent atoms, fractional coordinates:
1 Nb 0.0000 0.0000 0.1439 (multiplicity 2)
2 Nb 0.3333 0.6667 0.3211 (multiplicity 2)
3 Au 0.0000 0.0000 0.5000 (multiplicity 1)
4 S 0.3333 0.6667 0.0000 (multiplicity 1)
5 N 0.6667 0.3333 0.2398 (multiplicity 2)

Compound: NaPrCdS3
Source: the Open Quantum Materials Database
Functional: PBE-GGA
Structure: relaxed

The relative energy among the computed polymorphs comes out at 34.3 meV per atom. The volume is 558 Å³/cell.

Cell: 7.927 4.188 16.811 Å, 90.00 90.00 90.00°
Space group Pnma (No. 62)
Inequivalent atoms, fractional coordinates:
1 Na 0.057 0.250 0.203 (multiplicity 4)
2 Pr 0.232 0.250 0.961 (multiplicity 4)
3 Cd 0.088 0.250 0.659 (multiplicity 4)
4 S 0.012 0.250 0.420 (multiplicity 4)
5 S 0.124 0.750 0.066 (multiplicity 4)
6 S 0.232 0.250 0.790 (multiplicity 4)

Compound: Er2TmAl3Au3
Source: the Open Quantum Materials Database
Functional: PBE-GGA
Structure: relaxed

Its energy is -4.65 eV per atom. The volume is 369 Å³/cell.

Cell: 4.059 12.549 7.254 Å, 90.00 90.00 90.00°
Space group Amm2 (No. 38)
Inequivalent atoms, fractional coordinates:
1 Er 0.000 0.207 0.000 (multiplicity 4)
2 Tm 0.000 0.000 0.619 (multiplicity 2)
3 Al 0.500 0.000 0.963 (multiplicity 2)
4 Al 0.500 0.122 0.329 (multiplicity 4)
5 Au 0.000 0.000 0.207 (multiplicity 2)
6 Au 0.500 0.166 0.706 (multiplicity 4)

Compound: Gd2Te3Au
Source: the Open Quantum Materials Database
Functional: PBE-GGA
Structure: relaxed

The relative energy among the computed polymorphs comes out at 0.0 meV per atom. The volume is 685 Å³/cell.

Cell: 8.406 4.243 19.218 Å, 90.00 90.00 90.00°
Space group Pnma (No. 62)
Inequivalent atoms, fractional coordinates:
1 Gd 0.069 0.250 0.205 (multiplicity 4)
2 Gd 0.210 0.750 0.503 (multiplicity 4)
3 Te 0.049 0.750 0.081 (multiplicity 4)
4 Te 0.155 0.250 0.387 (multiplicity 4)
5 Te 0.170 0.250 0.738 (multiplicity 4)
6 Au 0.073 0.250 0.596 (multiplicity 4)

Compound: Sc2Ga4CuPt
Source: the Open Quantum Materials Database
Functional: PBE-GGA
Structure: relaxed

Its energy is -5.00 eV per atom. The volume is 266 Å³/cell.

Cell: 6.501 4.178 9.802 Å, 90.00 90.00 90.00°
Space group Amm2 (No. 38)
Inequivalent atoms, fractional coordinates:
1 Sc 0.000 0.000 0.000 (multiplicity 2)
2 Sc 0.500 0.000 0.159 (multiplicity 2)
3 Ga 0.208 0.000 0.710 (multiplicity 4)
4 Ga 0.304 0.000 0.453 (multiplicity 4)
5 Cu 0.500 0.000 0.876 (multiplicity 2)
6 Pt 0.000 0.000 0.286 (multiplicity 2)

Compound: GdY2Mg4Ga2
Source: the Open Quantum Materials Database
Functional: PBE-GGA
Structure: relaxed

Its energy is -3.68 eV per atom. The volume is 430 Å³/cell.

Cell: 4.490 12.903 7.428 Å, 90.00 90.00 90.00°
Space group Amm2 (No. 38)
Inequivalent atoms, fractional coordinates:
1 Gd 0.000 0.000 0.000 (multiplicity 2)
2 Y 0.000 0.217 0.652 (multiplicity 4)
3 Mg 0.000 0.000 0.435 (multiplicity 2)
4 Mg 0.500 0.000 0.687 (multiplicity 2)
5 Mg 0.500 0.126 0.308 (multiplicity 4)
6 Ga 0.500 0.167 0.934 (multiplicity 4)

Compound: BaGdNO
Source: the Open Quantum Materials Database
Functional: PBE-GGA
Structure: relaxed

The relative energy among the computed polymorphs comes out at 91.9 meV per atom. The volume is 76 Å³/cell.

Cell: 3.554 3.556 5.999 Å, 90.00 90.39 90.00°
Space group Pm (No. 6)
Inequivalent atoms, fractional coordinates:
1 Ba 0.000 0.000 0.000 (multiplicity 1)
2 Gd 0.498 0.500 0.482 (multiplicity 1)
3 N 0.028 0.000 0.531 (multiplicity 1)
4 O 0.501 0.500 0.121 (multiplicity 1)

Compound: Dy3Mg3Zn2Ga
Source: the Open Quantum Materials Database
Functional: PBE-GGA
Structure: relaxed

Its energy is -2.99 eV per atom. The volume is 204 Å³/cell.

Cell: 7.2570 7.2570 4.4682 Å, 90.00 90.00 120.00°
Space group P-62m (No. 189)
Inequivalent atoms, fractional coordinates:
1 Dy 0.0000 0.5792 0.0000 (multiplicity 3)
2 Mg 0.0000 0.2440 0.5000 (multiplicity 3)
3 Zn 0.3333 0.6667 0.5000 (multiplicity 2)
4 Ga 0.0000 0.0000 0.0000 (multiplicity 1)

Compound: Pr4BIBr4
Source: the Open Quantum Materials Database
Functional: PBE-GGA
Structure: relaxed

Its energy is -4.75 eV per atom. The volume is 675 Å³/cell.

Cell: 18.668 4.154 8.956 Å, 90.00 103.59 90.00°
Space group C2/m (No. 12)
Inequivalent atoms, fractional coordinates:
1 Pr 0.001 0.000 0.297 (multiplicity 4)
2 Pr 0.145 0.500 0.577 (multiplicity 4)
3 B 0.000 0.500 0.500 (multiplicity 2)
4 I 0.000 0.500 0.000 (multiplicity 2)
5 Br 0.166 0.000 0.824 (multiplicity 4)
6 Br 0.171 0.000 0.344 (multiplicity 4)

Compound: SrTbAg
Source: the Open Quantum Materials Database
Functional: PBE-GGA
Structure: relaxed

Its energy is -2.96 eV per atom. The volume is 407 Å³/cell.

Cell: 7.409 7.409 7.409 Å, 90.00 90.00 90.00°
Space group F-43m (No. 216)
Inequivalent atoms, fractional coordinates:
1 Sr 0.000 0.000 0.000 (multiplicity 4)
2 Tb 0.000 0.000 0.500 (multiplicity 4)
3 Ag 0.250 0.250 0.250 (multiplicity 4)

Compound: LiAlCoSb
Source: the Open Quantum Materials Database
Functional: PBE-GGA
Structure: relaxed

The relative energy among the computed polymorphs comes out at 337.9 meV per atom. The volume is 250 Å³/cell.

Cell: 6.299 6.299 6.299 Å, 90.00 90.00 90.00°
Space group F-43m (No. 216)
Inequivalent atoms, fractional coordinates:
1 Li 0.000 0.000 0.000 (multiplicity 4)
2 Al 0.000 0.000 0.500 (multiplicity 4)
3 Co 0.250 0.250 0.750 (multiplicity 4)
4 Sb 0.250 0.250 0.250 (multiplicity 4)

Compound: Er3S2O
Source: the Open Quantum Materials Database
Functional: PBE-GGA
Structure: relaxed

Its energy is -6.65 eV per atom. The volume is 107 Å³/cell.

Cell: 3.6453 3.6453 9.3204 Å, 90.00 90.00 120.00°
Space group P-3m1 (No. 164)
Inequivalent atoms, fractional coordinates:
1 Er 0.0000 0.0000 0.0000 (multiplicity 1)
2 Er 0.3333 0.6667 0.6378 (multiplicity 2)
3 S 0.3333 0.6667 0.1825 (multiplicity 2)
4 O 0.0000 0.0000 0.5000 (multiplicity 1)

Compound: Re2TcB2
Source: the Open Quantum Materials Database
Functional: PBE-GGA
Structure: relaxed

Its energy is -9.33 eV per atom. The volume is 119 Å³/cell.

Cell: 3.688 3.688 8.786 Å, 90.00 90.00 90.00°
Space group I4/mmm (No. 139)
Inequivalent atoms, fractional coordinates:
1 Re 0.000 0.500 0.250 (multiplicity 4)
2 Tc 0.000 0.000 0.000 (multiplicity 2)
3 B 0.000 0.000 0.402 (multiplicity 4)

Compound: LiSnIrPb
Source: the Open Quantum Materials Database
Functional: PBE-GGA
Structure: relaxed

The relative energy among the computed polymorphs comes out at 0.0 meV per atom. The volume is 304 Å³/cell.

Cell: 6.722 6.722 6.722 Å, 90.00 90.00 90.00°
Space group F-43m (No. 216)
Inequivalent atoms, fractional coordinates:
1 Li 0.000 0.000 0.000 (multiplicity 4)
2 Sn 0.250 0.250 0.750 (multiplicity 4)
3 Ir 0.000 0.000 0.500 (multiplicity 4)
4 Pb 0.250 0.250 0.250 (multiplicity 4)

Compound: Lu2TlFe
Source: the Open Quantum Materials Database
Functional: PBE-GGA
Structure: relaxed

Its energy is -4.71 eV per atom. The volume is 334 Å³/cell.

Cell: 6.938 6.938 6.938 Å, 90.00 90.00 90.00°
Space group F-43m (No. 216)
Inequivalent atoms, fractional coordinates:
1 Lu 0.000 0.000 0.000 (multiplicity 4)
2 Lu 0.250 0.250 0.250 (multiplicity 4)
3 Tl 0.000 0.000 0.500 (multiplicity 4)
4 Fe 0.250 0.250 0.750 (multiplicity 4)

Compound: SmBe2Ni3
Source: the Open Quantum Materials Database
Functional: PBE-GGA
Structure: relaxed

Its energy is -5.25 eV per atom. The volume is 75 Å³/cell.

Cell: 5.0428 5.0428 3.4184 Å, 90.00 90.00 120.00°
Space group P6/mmm (No. 191)
Inequivalent atoms, fractional coordinates:
1 Sm 0.0000 0.0000 0.0000 (multiplicity 1)
2 Be 0.3333 0.6667 0.0000 (multiplicity 2)
3 Ni 0.0000 0.5000 0.5000 (multiplicity 3)

Compound: Tm4Si4Ni2Sn
Source: the Open Quantum Materials Database
Functional: PBE-GGA
Structure: relaxed

Its energy is -5.77 eV per atom. The volume is 406 Å³/cell.

Cell: 14.979 4.144 6.931 Å, 90.00 109.38 90.00°
Space group C2/m (No. 12)
Inequivalent atoms, fractional coordinates:
1 Tm 0.087 0.000 0.383 (multiplicity 4)
2 Tm 0.156 0.000 0.938 (multiplicity 4)
3 Si 0.068 0.500 0.652 (multiplicity 4)
4 Si 0.205 0.500 0.264 (multiplicity 4)
5 Ni 0.219 0.500 0.621 (multiplicity 4)
6 Sn 0.000 0.500 0.000 (multiplicity 2)